[1]
Computed, not measured: a relaxed structure of CaTa2Co at the PBE-GGA level of DFT.

```
data_CaTa2Co
_chemical_formula_sum 'Ca1 Ta2 Co1'
_cell_length_a 2.875
_cell_length_b 3.564
_cell_length_c 7.759
_cell_angle_alpha 90.00
_cell_angle_beta 90.00
_cell_angle_gamma 90.00
_space_group_name_H-M_alt 'P m m m'
_space_group_IT_number 47
loop_
_space_group_symop_operation_xyz
'x,y,z'
'-x,-y,-z'
'-x,-y,z'
'x,y,-z'
'x,-y,-z'
'-x,y,z'
'-x,y,-z'
'x,-y,z'
loop_
_atom_site_label
_atom_site_fract_x
_atom_site_fract_y
_atom_site_fract_z
Ca1 0.000 0.000 0.000
Ta1 0.500 0.500 0.330
Co1 0.000 0.000 0.500
```

energy of formation: 0.465 eV/atom
E_tot: -30.954 eV/cell

[2]
Computed, not measured: a relaxed structure of Li8Bi2P at the PBE-GGA level of DFT.

```
data_Li8Bi2P
_chemical_formula_sum 'Li16 Bi4 P2'
_cell_length_a 15.349
_cell_length_b 4.598
_cell_length_c 6.344
_cell_angle_alpha 90.00
_cell_angle_beta 114.33
_cell_angle_gamma 90.00
_space_group_name_H-M_alt 'C 1 2/m 1'
_space_group_IT_number 12
loop_
_space_group_symop_operation_xyz
'x,y,z'
'-x,-y,-z'
'-x,y,-z'
'x,-y,z'
'x+1/2,y+1/2,z'
'-x+1/2,-y+1/2,-z'
'-x+1/2,y+1/2,-z'
'x+1/2,-y+1/2,z'
loop_
_atom_site_label
_atom_site_fract_x
_atom_site_fract_y
_atom_site_fract_z
Li1 0.000 0.000 0.230
Li2 0.135 0.500 0.383
Li3 0.135 0.500 0.888
Li4 0.186 0.000 0.187
Bi1 0.179 0.000 0.678
P1 0.000 0.500 0.000
```

energy of formation: -0.527 eV/atom
E_tot: -68.555 eV/cell

[3]
Computed, not measured: a relaxed structure of BaCaSe2 at the PBE-GGA level of DFT.

```
data_BaCaSe2
_chemical_formula_sum 'Ba3 Ca3 Se6'
_cell_length_a 4.3822
_cell_length_b 4.3822
_cell_length_c 22.7961
_cell_angle_alpha 90.00
_cell_angle_beta 90.00
_cell_angle_gamma 120.00
_space_group_name_H-M_alt 'R 3 m'
_space_group_IT_number 160
_space_group_name_Hall 'R 3 -2"'
loop_
_atom_site_label
_atom_site_fract_x
_atom_site_fract_y
_atom_site_fract_z
Ba1 0.0000 0.0000 0.0000
Ca1 0.0000 0.0000 0.1696
Se1 0.0000 0.0000 0.5758
Se2 0.0000 0.0000 0.7609
```

E_form (uncorrected): -1944.4 meV per atom
E_tot: -56.013 eV/cell

[4]
Computed, not measured: a relaxed structure of Ta2ZnHOs at the PBE-GGA level of DFT.

```
data_Ta2ZnHOs
_chemical_formula_sum 'Ta2 Zn1 H1 Os1'
_cell_length_a 4.068
_cell_length_b 4.068
_cell_length_c 4.016
_cell_angle_alpha 90.00
_cell_angle_beta 90.00
_cell_angle_gamma 90.00
_space_group_name_H-M_alt 'P 4/m m m'
_space_group_IT_number 123
_space_group_name_Hall '-P 4 2'
loop_
_atom_site_label
_atom_site_fract_x
_atom_site_fract_y
_atom_site_fract_z
Ta1 0.000 0.500 0.000
Zn1 0.000 0.000 0.500
H1 0.000 0.000 0.000
Os1 0.500 0.500 0.500
```

E_tot: -39.500 eV/cell

[5]
Computed, not measured: a relaxed structure of LaIn2CuSn at the PBE-GGA level of DFT.

```
data_LaIn2CuSn
_chemical_formula_sum 'La1 In2 Cu1 Sn1'
_cell_length_a 6.225
_cell_length_b 6.225
_cell_length_c 5.935
_cell_angle_alpha 90.00
_cell_angle_beta 90.00
_cell_angle_gamma 90.00
_space_group_name_H-M_alt 'P 4/m m m'
_space_group_IT_number 123
_space_group_name_Hall '-P 4 2'
loop_
_atom_site_label
_atom_site_fract_x
_atom_site_fract_y
_atom_site_fract_z
La1 0.000 0.000 0.000
In1 0.000 0.500 0.000
Cu1 0.500 0.500 0.500
Sn1 0.000 0.000 0.500
```

energy of formation: 1.065 eV/atom
E_tot: -13.180 eV/cell

[6]
Computed, not measured: a relaxed structure of PrUCdO6 at the PBE-GGA level of DFT.

```
data_PrUCdO6
_chemical_formula_sum 'Pr1 U1 Cd1 O6'
_cell_length_a 5.9888
_cell_length_b 5.9888
_cell_length_c 4.5724
_cell_angle_alpha 90.00
_cell_angle_beta 90.00
_cell_angle_gamma 120.00
_space_group_name_H-M_alt 'P 3 1 2'
_space_group_IT_number 149
loop_
_space_group_symop_operation_xyz
'x,y,z'
'-y,x-y,z'
'-x+y,-x,z'
'-y,-x,-z'
'-x+y,y,-z'
'x,x-y,-z'
loop_
_atom_site_label
_atom_site_fract_x
_atom_site_fract_y
_atom_site_fract_z
Pr1 0.0000 0.0000 0.0000
U1 0.3333 0.6667 0.0000
Cd1 0.6667 0.3333 0.5000
O1 0.0330 0.3713 0.2336
```

E_form (uncorrected): -2356.8 meV per atom
E_tot: -67.943 eV/cell

[7]
Computed, not measured: a relaxed structure of Zr2RhW at the PBE-GGA level of DFT.

```
data_Zr2RhW
_chemical_formula_sum 'Zr2 Rh1 W1'
_cell_length_a 2.929
_cell_length_b 2.929
_cell_length_c 8.789
_cell_angle_alpha 90.00
_cell_angle_beta 90.00
_cell_angle_gamma 90.00
_space_group_name_H-M_alt 'P 4 m m'
_space_group_IT_number 99
loop_
_space_group_symop_operation_xyz
'x,y,z'
'-y,x,z'
'-x,-y,z'
'y,-x,z'
'-x,y,z'
'y,x,z'
'x,-y,z'
'-y,-x,z'
loop_
_atom_site_label
_atom_site_fract_x
_atom_site_fract_y
_atom_site_fract_z
Zr1 0.000 0.000 0.000
Zr2 0.500 0.500 0.315
Rh1 0.000 0.000 0.551
W1 0.500 0.500 0.747
```

energy of formation: -0.073 eV/atom
E_tot: -37.694 eV/cell

[8]
Computed, not measured: a relaxed structure of Pm2TmGe2 at the PBE-GGA level of DFT.

```
data_Pm2TmGe2
_chemical_formula_sum 'Pm4 Tm2 Ge4'
_cell_length_a 7.630
_cell_length_b 7.630
_cell_length_c 4.384
_cell_angle_alpha 90.00
_cell_angle_beta 90.00
_cell_angle_gamma 90.00
_space_group_name_H-M_alt 'P 4/m b m'
_space_group_IT_number 127
_space_group_name_Hall '-P 4 2ab'
loop_
_atom_site_label
_atom_site_fract_x
_atom_site_fract_y
_atom_site_fract_z
Pm1 0.174 0.326 0.000
Tm1 0.000 0.000 0.500
Ge1 0.124 0.624 0.500
```

energy of formation: -0.796 eV/atom
E_tot: -54.375 eV/cell

[9]
Computed, not measured: a relaxed structure of Zn2Ag6Ge at the PBE-GGA level of DFT.

```
data_Zn2Ag6Ge
_chemical_formula_sum 'Zn8 Ag24 Ge4'
_cell_length_a 13.279
_cell_length_b 9.639
_cell_length_c 4.920
_cell_angle_alpha 90.00
_cell_angle_beta 97.23
_cell_angle_gamma 90.00
_space_group_name_H-M_alt 'C 1 2/c 1'
_space_group_IT_number 15
loop_
_space_group_symop_operation_xyz
'x,y,z'
'-x,-y,-z'
'-x,y,-z+1/2'
'x,-y,z+1/2'
'x+1/2,y+1/2,z'
'-x+1/2,-y+1/2,-z'
'-x+1/2,y+1/2,-z+1/2'
'x+1/2,-y+1/2,z+1/2'
loop_
_atom_site_label
_atom_site_fract_x
_atom_site_fract_y
_atom_site_fract_z
Zn1 0.166 0.122 0.083
Ag1 0.057 0.124 0.521
Ag2 0.114 0.371 0.811
Ag3 0.226 0.375 0.352
Ge1 0.000 0.378 0.250
```

energy of formation: 0.053 eV/atom
E_tot: -95.167 eV/cell

[10]
Computed, not measured: a relaxed structure of TbY2Ni6B6C3 at the PBE-GGA level of DFT.

```
data_TbY2Ni6B6C3
_chemical_formula_sum 'Tb2 Y4 Ni12 B12 C6'
_cell_length_a 3.548
_cell_length_b 3.548
_cell_length_c 31.172
_cell_angle_alpha 90.00
_cell_angle_beta 90.00
_cell_angle_gamma 90.00
_space_group_name_H-M_alt 'I 4/m m m'
_space_group_IT_number 139
_space_group_name_Hall '-I 4 2'
loop_
_atom_site_label
_atom_site_fract_x
_atom_site_fract_y
_atom_site_fract_z
Tb1 0.000 0.000 0.000
Y1 0.000 0.000 0.333
Ni1 0.000 0.500 0.083
Ni2 0.000 0.500 0.250
B1 0.000 0.000 0.119
B2 0.000 0.000 0.215
B3 0.000 0.000 0.452
C1 0.000 0.000 0.167
C2 0.000 0.000 0.500
```

energy of formation: -0.508 eV/atom
E_tot: -258.263 eV/cell

[11]
Computed, not measured: a relaxed structure of BeAuCl4 at the PBE-GGA level of DFT.

```
data_BeAuCl4
_chemical_formula_sum 'Be4 Au4 Cl16'
_cell_length_a 8.289
_cell_length_b 8.289
_cell_length_c 8.289
_cell_angle_alpha 90.00
_cell_angle_beta 90.00
_cell_angle_gamma 90.00
_space_group_name_H-M_alt 'F -4 3 m'
_space_group_IT_number 216
_space_group_name_Hall 'F -4 2 3'
loop_
_atom_site_label
_atom_site_fract_x
_atom_site_fract_y
_atom_site_fract_z
Be1 0.000 0.000 0.000
Au1 0.250 0.250 0.250
Cl1 0.125 0.125 0.625
```

E_form (uncorrected): 1083.7 meV per atom
E_tot: -31.551 eV/cell

[12]
Computed, not measured: a relaxed structure of Ac2CdBPt6 at the PBE-GGA level of DFT.

```
data_Ac2CdBPt6
_chemical_formula_sum 'Ac2 Cd1 B1 Pt6'
_cell_length_a 5.859
_cell_length_b 5.867
_cell_length_c 7.659
_cell_angle_alpha 67.57
_cell_angle_beta 67.59
_cell_angle_gamma 60.08
_space_group_name_H-M_alt 'P -1'
_space_group_IT_number 2
loop_
_space_group_symop_operation_xyz
'x,y,z'
'-x,-y,-z'
loop_
_atom_site_label
_atom_site_fract_x
_atom_site_fract_y
_atom_site_fract_z
Ac1 0.224 0.223 0.330
Cd1 0.500 0.500 0.500
B1 0.000 0.000 0.000
Pt1 0.230 0.232 0.824
Pt2 0.231 0.714 0.824
Pt3 0.289 0.768 0.175
```

energy of formation: -0.796 eV/atom
E_tot: -60.015 eV/cell

Record-wise size of the total moment values, in μB per formula unit: 0.9, 0.0, 0.0, 0.0, 0.0, 0.8, 0.0, 0.0, 0.0, 0.0, 2.9, 0.0